Record 1
First-principles (PBE-GGA) data for crystalline BaMo2W at its relaxed geometry, as listed in Alexandria.

```
BaMo2W
1.0
2.923 0.006 0.000
-1.030 2.736 0.000
0.000 0.000 10.138
Ba Mo W
1 2 1
Direct
0.500 0.500 0.750 Ba
0.500 0.500 0.250 Mo
0.000 0.000 0.048 Mo
0.000 0.000 0.453 W
```

## Properties
* formation energy: 879 meV per atom
* SG: Cmm2



Record 2
First-principles (PBE-GGA) data for crystalline Ba2Mo2W at its relaxed geometry, as listed in Alexandria.

```
Ba2Mo2W
1.0
-6.942 -2.215 5.734
3.993 -8.201 1.666
1.464 1.164 2.223
W Ba Mo
2 4 4
Direct
0.500 0.500 0.000 W
0.000 0.000 0.000 W
0.630 0.130 0.000 Ba
0.370 0.870 0.000 Ba
0.130 0.370 0.000 Ba
0.870 0.630 0.000 Ba
0.180 0.680 0.500 Mo
0.320 0.180 0.500 Mo
0.820 0.320 0.500 Mo
0.680 0.820 0.500 Mo
```

## Properties
* formation energy: 2245 meV per atom
* SG: P4/mbm



Record 3
First-principles (PBE-GGA) data for crystalline BaMo2W at its relaxed geometry, as listed in Alexandria.

```
BaMo2W
1.0
0.000 3.384 3.384
3.384 0.000 3.384
3.384 3.384 0.000
Mo W Ba
2 1 1
Direct
0.250 0.250 0.250 Mo
0.750 0.750 0.750 Mo
0.500 0.500 0.500 W
0.000 0.000 0.000 Ba
```

## Properties
* formation energy: 1291 meV per atom
* SG: Fm-3m



Record 4
First-principles (PBE-GGA) data for crystalline Ba2MoW at its relaxed geometry, as listed in Alexandria.

```
Ba2MoW
1.0
-5.089 0.802 2.196
-3.666 3.357 -2.580
-4.508 -2.179 -2.509
Ba Mo W
2 1 1
Direct
0.750 0.750 0.750 Ba
0.250 0.250 0.250 Ba
0.000 0.000 0.000 Mo
0.500 0.500 0.500 W
```

## Properties
* formation energy: 1905 meV per atom
* SG: Fm-3m



Question: Among the records above, which one has the highest formation energy?
Answer: Ba2Mo2W



Question: The highest formation energy belongs to which entry?
Answer: Ba2Mo2W